## Y2OsAuC (PBE-GGA)

Data for Y2OsAuC after structural relaxation.

Summary:
DOS(E_F) ... 1.78 states/eV per cell
Crystal system ... tetragonal
Energy relative to the elements ... -542.4 meV/atom
SG ... P4/mmm
Total DFT energy (no corrections) ... -39.37 eV for the cell shown

Geometry as POSCAR:
```
Y2OsAuC
1.0
-1.887 4.638 0.066
-4.613 -1.869 -0.554
-0.379 -0.209 3.860
Au Os C Y
1 1 1 2
direct
0.500 0.500 0.500
0.000 0.000 0.500
0.000 0.000 0.000
0.000 0.500 0.000
0.500 0.000 0.000
```

***

## P3AuC (PBE-GGA)

Data for P3AuC after structural relaxation.

Summary:
DOS(E_F) ... 6.09 states/eV per cell
Energy relative to the lowest polymorph listed for this composition ... 1354 meV per atom
Crystal system ... cubic
Energy relative to the elements ... 2492.1 meV/atom
SG ... Pm-3m
Total DFT energy (no corrections) ... -16.27 eV for the cell shown

Geometry as POSCAR:
```
P3AuC
1.0
-2.430 2.854 2.987
-2.325 -3.809 1.749
3.415 -0.562 3.315
Au P C
1 3 1
direct
0.000 0.000 0.000
0.000 0.000 0.500
0.500 0.000 0.000
0.000 0.500 0.000
0.500 0.500 0.500
```

***

## P3AuC (PBE-GGA)

Data for P3AuC after structural relaxation.

Summary:
DOS(E_F) ... 2.38 states/eV per cell
Energy relative to the lowest polymorph listed for this composition ... 0 meV per atom
Crystal system ... cubic
Energy relative to the elements ... 1137.7 meV/atom
SG ... Pm-3m
Total DFT energy (no corrections) ... -23.04 eV for the cell shown

Geometry as POSCAR:
```
P3AuC
1.0
4.104 0.000 0.000
0.000 4.104 0.000
0.000 0.000 4.104
C P Au
1 3 1
direct
0.000 0.000 0.000
0.500 0.000 0.000
0.000 0.000 0.500
0.000 0.500 0.000
0.500 0.500 0.500
```

***

## P2AuC (PBE-GGA)

Data for P2AuC after structural relaxation.

Summary:
DOS(E_F) ... 2.66 states/eV per cell
Crystal system ... tetragonal
Energy relative to the elements ... 483.3 meV/atom
SG ... I-42d
Total DFT energy (no corrections) ... -42.78 eV for the cell shown

Geometry as POSCAR:
```
P2AuC
1.0
-1.767 0.560 4.818
-1.611 -4.905 -0.020
2.360 -3.509 4.039
Au P C
2 4 2
direct
0.000 0.000 0.000
0.750 0.250 0.500
0.875 0.797 0.750
0.203 0.625 0.250
0.375 0.453 0.750
0.547 0.125 0.250
0.500 0.500 0.000
0.250 0.750 0.500
```

***

## PAuC3 (PBE-GGA)

Data for PAuC3 after structural relaxation.

Summary:
DOS(E_F) ... 0.73 states/eV per cell
Energy relative to the lowest polymorph listed for this composition ... 0 meV per atom
Crystal system ... cubic
Energy relative to the elements ... 2122.2 meV/atom
SG ... Pm-3m
Total DFT energy (no corrections) ... -25.75 eV for the cell shown

Geometry as POSCAR:
```
PAuC3
1.0
3.712 0.000 0.000
0.000 3.712 0.000
0.000 0.000 3.712
Au C P
1 3 1
direct
0.500 0.500 0.500
0.500 0.000 0.000
0.000 0.500 0.000
0.000 0.000 0.500
0.000 0.000 0.000
```

***

## PAu4C2 (PBE-GGA)

Data for PAu4C2 after structural relaxation.

Summary:
DOS(E_F) ... 1.27 states/eV per cell
Crystal system ... tetragonal
Energy relative to the elements ... 744.8 meV/atom
SG ... I4/mmm
Total DFT energy (no corrections) ... -31.75 eV for the cell shown

Geometry as POSCAR:
```
PAu4C2
1.0
-1.121 1.937 4.572
2.123 -4.050 2.237
4.910 1.301 3.487
Au C P
4 2 1
direct
0.000 0.500 0.000
0.765 0.765 0.470
0.500 0.000 0.000
0.235 0.235 0.530
0.435 0.435 0.129
0.565 0.565 0.871
0.000 0.000 0.000
```

***

## PAuC3 (PBE-GGA)

Data for PAuC3 after structural relaxation.

Summary:
DOS(E_F) ... 5.07 states/eV per cell
Energy relative to the lowest polymorph listed for this composition ... 1200 meV per atom
Crystal system ... cubic
Energy relative to the elements ... 3322.2 meV/atom
SG ... Pm-3m
Total DFT energy (no corrections) ... -19.75 eV for the cell shown

Geometry as POSCAR:
```
PAuC3
1.0
4.136 0.000 0.000
0.000 4.136 0.000
0.000 0.000 4.136
C P Au
3 1 1
direct
0.000 0.000 0.500
0.000 0.500 0.000
0.500 0.000 0.000
0.500 0.500 0.500
0.000 0.000 0.000
```

***

## PRu2AuC (PBE-GGA)

Data for PRu2AuC after structural relaxation.

Summary:
DOS(E_F) ... 5.08 states/eV per cell
Crystal system ... tetragonal
Energy relative to the elements ... 749.7 meV/atom
SG ... P4/mmm
Total DFT energy (no corrections) ... -32.71 eV for the cell shown

Geometry as POSCAR:
```
PRu2AuC
1.0
-1.453 3.690 0.927
-3.783 -1.144 -1.376
-0.960 -1.316 3.733
Au Ru P C
1 2 1 1
direct
0.500 0.500 0.500
0.000 0.000 0.500
0.500 0.000 0.000
0.000 0.500 0.000
0.000 0.000 0.000
```

***

## PAuCS (PBE-GGA)

Data for PAuCS after structural relaxation.

Summary:
Energy relative to the lowest polymorph listed for this composition ... 146 meV per atom
Crystal system ... triclinic
SG ... P1
Total DFT energy (no corrections) ... -20.03 eV for the cell shown

Geometry as POSCAR:
```
PAuCS
1.0
-0.270 0.985 -2.962
0.456 -4.773 -0.357
-5.059 1.738 1.214
S P Au C
1 1 1 1
direct
0.232 0.389 0.567
0.709 0.852 0.818
0.116 0.522 0.200
0.148 0.679 0.898
```

***

## PAuCS (PBE-GGA)

Data for PAuCS after structural relaxation.

Summary:
DOS(E_F) ... 1.32 states/eV per cell
Energy relative to the lowest polymorph listed for this composition ... 272 meV per atom
Crystal system ... monoclinic
SG ... Cm
Total DFT energy (no corrections) ... -39.05 eV for the cell shown

Geometry as POSCAR:
```
PAuCS
1.0
4.540 0.000 -0.001
0.000 3.655 0.000
-0.209 0.000 10.033
P C S Au
2 2 2 2
direct
0.875 0.500 0.219
0.875 0.000 0.719
0.268 0.500 0.186
0.268 0.000 0.686
0.060 0.000 0.528
0.060 0.500 0.028
0.542 0.500 0.716
0.542 0.000 0.216
```

***

## P2AuCS (PBE-GGA)

Data for P2AuCS after structural relaxation.

Summary:
DOS(E_F) ... 5.26 states/eV per cell
Energy relative to the lowest polymorph listed for this composition ... 1154 meV per atom
Crystal system ... tetragonal
SG ... P4/mmm
Total DFT energy (no corrections) ... -15.56 eV for the cell shown

Geometry as POSCAR:
```
P2AuCS
1.0
-3.020 -2.130 3.072
2.500 -4.087 -0.376
2.839 1.391 3.756
P S C Au
2 1 1 1
direct
0.500 0.000 0.000
0.000 0.500 0.000
0.000 0.000 0.500
0.500 0.500 0.500
0.000 0.000 0.000
```

***

## PAuCS (PBE-GGA)

Data for PAuCS after structural relaxation.

Summary:
Energy relative to the lowest polymorph listed for this composition ... 136 meV per atom
Crystal system ... monoclinic
SG ... Cm
Total DFT energy (no corrections) ... -40.14 eV for the cell shown

Geometry as POSCAR:
```
PAuCS
1.0
-3.483 -0.865 4.449
2.809 -2.956 1.624
4.808 5.497 1.689
Au S P C
2 2 2 2
direct
0.682 0.500 0.994
0.682 0.000 0.494
0.277 0.000 0.561
0.277 0.500 0.061
0.771 0.000 0.194
0.771 0.500 0.694
0.015 0.000 0.392
0.015 0.500 0.892
```

***

## PAuCS (PBE-GGA)

Data for PAuCS after structural relaxation.

Summary:
DOS(E_F) ... 0.29 states/eV per cell
Energy relative to the lowest polymorph listed for this composition ... 178 meV per atom
Crystal system ... triclinic
SG ... P1
Total DFT energy (no corrections) ... -19.90 eV for the cell shown

Geometry as POSCAR:
```
PAuCS
1.0
3.900 0.047 0.021
1.056 4.260 0.003
1.808 0.436 4.823
S Au P C
1 1 1 1
direct
0.014 0.170 0.195
0.364 0.684 0.810
0.975 0.743 0.506
0.112 0.506 0.232
```

***

## P2AuCS (PBE-GGA)

Data for P2AuCS after structural relaxation.

Summary:
DOS(E_F) ... 2.92 states/eV per cell
Energy relative to the lowest polymorph listed for this composition ... 0 meV per atom
Crystal system ... tetragonal
SG ... P4/mmm
Total DFT energy (no corrections) ... -21.33 eV for the cell shown

Geometry as POSCAR:
```
P2AuCS
1.0
-1.876 1.195 3.405
-0.292 -3.875 1.199
3.785 0.324 1.971
C S Au P
1 1 1 2
direct
0.000 0.000 0.000
0.000 0.000 0.500
0.500 0.500 0.500
0.500 0.000 0.000
0.000 0.500 0.000
```

***

## PAuCS (PBE-GGA)

Data for PAuCS after structural relaxation.

Summary:
DOS(E_F) ... 2.33 states/eV per cell
Energy relative to the lowest polymorph listed for this composition ... 0 meV per atom
Crystal system ... monoclinic
SG ... Pm
Total DFT energy (no corrections) ... -20.61 eV for the cell shown

Geometry as POSCAR:
```
PAuCS
1.0
-0.269 1.479 -2.494
-3.781 0.951 0.972
2.080 4.187 3.996
C P Au S
1 1 1 1
direct
0.809 0.500 0.873
0.396 0.500 0.045
0.517 0.000 0.286
0.663 0.500 0.588
```

***

## PAuCS (PBE-GGA)

Data for PAuCS after structural relaxation.

Summary:
DOS(E_F) ... 1.03 states/eV per cell
Energy relative to the lowest polymorph listed for this composition ... 107 meV per atom
Crystal system ... triclinic
SG ... P1
Total DFT energy (no corrections) ... -20.18 eV for the cell shown

Geometry as POSCAR:
```
PAuCS
1.0
-1.571 -1.309 3.732
1.211 -3.734 1.619
4.557 1.180 4.630
S P C Au
1 1 1 1
direct
0.134 0.717 0.730
0.972 0.547 0.255
0.057 0.635 0.982
0.627 0.204 0.288
```

***

## PAuCS (PBE-GGA)

Data for PAuCS after structural relaxation.

Summary:
DOS(E_F) ... 0.60 states/eV per cell
Energy relative to the lowest polymorph listed for this composition ... 214 meV per atom
Crystal system ... triclinic
SG ... P1
Total DFT energy (no corrections) ... -19.76 eV for the cell shown

Geometry as POSCAR:
```
PAuCS
1.0
-1.427 0.070 3.883
3.866 -0.019 2.354
-0.519 4.608 1.154
C Au P S
1 1 1 1
direct
0.239 0.166 0.008
0.815 0.535 0.074
0.218 0.829 0.174
0.625 0.215 0.791
```

***

## PAuCS (PBE-GGA)

Data for PAuCS after structural relaxation.

Summary:
Energy relative to the lowest polymorph listed for this composition ... 82 meV per atom
Crystal system ... triclinic
SG ... P1
Total DFT energy (no corrections) ... -20.29 eV for the cell shown

Geometry as POSCAR:
```
PAuCS
1.0
3.137 0.000 -0.015
1.420 5.371 0.081
1.113 1.808 5.352
Au P C S
1 1 1 1
direct
0.687 0.424 0.273
0.899 0.982 0.313
0.480 0.791 0.325
0.173 0.763 0.646
```

***

## Th6P2AuC3 (PBE-GGA)

Data for Th6P2AuC3 after structural relaxation.

Summary:
DOS(E_F) ... 6.18 states/eV per cell
Crystal system ... monoclinic
Energy relative to the elements ... -732.3 meV/atom
SG ... C2/m
Total DFT energy (no corrections) ... -95.08 eV for the cell shown

Geometry as POSCAR:
```
Th6P2AuC3
1.0
3.906 0.000 0.000
0.000 8.193 0.036
-1.953 -2.630 8.430
P Th C Au
2 6 3 1
direct
0.837 0.673 0.674
0.163 0.327 0.326
0.337 0.404 0.673
0.011 0.720 0.023
0.322 0.933 0.644
0.678 0.067 0.356
0.989 0.280 0.977
0.663 0.596 0.327
0.170 0.833 0.339
0.500 0.500 0.000
0.830 0.167 0.661
0.500 0.000 0.000
```

***

## Pa3AuC (PBE-GGA)

Data for Pa3AuC after structural relaxation.

Summary:
DOS(E_F) ... 7.13 states/eV per cell
Crystal system ... cubic
Energy relative to the elements ... -211.7 meV/atom
SG ... Pm-3m
Total DFT energy (no corrections) ... -42.05 eV for the cell shown

Geometry as POSCAR:
```
Pa3AuC
1.0
4.756 0.000 0.000
0.000 4.756 0.000
0.000 0.000 4.756
Pa Au C
3 1 1
direct
0.000 0.500 0.000
0.000 0.000 0.500
0.500 0.000 0.000
0.500 0.500 0.500
0.000 0.000 0.000
```

***

## Pa4Au2C (PBE-GGA)

Data for Pa4Au2C after structural relaxation.

Summary:
DOS(E_F) ... 11.49 states/eV per cell
Crystal system ... tetragonal
Energy relative to the elements ... -138.7 meV/atom
SG ... I4/mmm
Total DFT energy (no corrections) ... -54.73 eV for the cell shown

Geometry as POSCAR:
```
Pa4Au2C
1.0
4.745 0.000 0.000
0.000 4.745 0.000
2.373 2.373 7.299
Au Pa C
2 4 1
direct
0.644 0.644 0.712
0.356 0.356 0.288
0.000 0.500 0.000
0.836 0.836 0.327
0.164 0.164 0.673
0.500 0.000 0.000
0.000 0.000 0.000
```

***

## Pa2Te2AuC2 (PBE-GGA)

Data for Pa2Te2AuC2 after structural relaxation.

Summary:
DOS(E_F) ... 5.91 states/eV per cell
Crystal system ... trigonal
SG ... P-3m1
Total DFT energy (no corrections) ... -49.25 eV for the cell shown

Geometry as POSCAR:
```
Pa2Te2AuC2
1.0
3.963 0.000 0.000
-1.982 3.432 0.000
0.000 0.000 12.576
Te Pa C Au
2 2 2 1
direct
0.000 0.000 0.206
0.000 0.000 0.794
0.333 0.667 0.616
0.667 0.333 0.384
0.333 0.667 0.428
0.667 0.333 0.572
0.000 0.000 0.000
```

***

## ThPaAuC (PBE-GGA)

Data for ThPaAuC after structural relaxation.

Summary:
DOS(E_F) ... 2.60 states/eV per cell
Crystal system ... monoclinic
Energy relative to the elements ... -408.1 meV/atom
SG ... Cm
Total DFT energy (no corrections) ... -31.05 eV for the cell shown

Geometry as POSCAR:
```
ThPaAuC
1.0
-1.793 2.784 -1.591
-1.769 -3.138 0.754
-0.058 1.839 7.523
Th C Pa Au
1 1 1 1
direct
0.504 0.150 0.670
0.319 0.557 0.892
0.094 0.945 0.055
0.960 0.378 0.353
```

***

## PbAuC2 (PBE-GGA)

Data for PbAuC2 after structural relaxation.

Summary:
DOS(E_F) ... 5.22 states/eV per cell
Crystal system ... tetragonal
Energy relative to the elements ... 1753.0 meV/atom
SG ... I-42d
Total DFT energy (no corrections) ... -36.84 eV for the cell shown

Geometry as POSCAR:
```
PbAuC2
1.0
-4.443 -0.695 2.362
0.512 -5.027 -0.518
0.600 -3.091 5.681
Au Pb C
2 2 4
direct
0.500 0.500 0.000
0.250 0.750 0.500
0.750 0.250 0.500
0.000 0.000 0.000
0.375 0.420 0.750
0.580 0.125 0.250
0.875 0.830 0.750
0.170 0.625 0.250
```

***

## PbAuC3 (PBE-GGA)

Data for PbAuC3 after structural relaxation.

Summary:
DOS(E_F) ... 3.91 states/eV per cell
Energy relative to the lowest polymorph listed for this composition ... 684 meV per atom
Crystal system ... cubic
Energy relative to the elements ... 3534.7 meV/atom
SG ... Pm-3m
Total DFT energy (no corrections) ... -16.98 eV for the cell shown

Geometry as POSCAR:
```
PbAuC3
1.0
4.463 0.000 0.000
0.000 4.463 0.000
0.000 0.000 4.463
C Pb Au
3 1 1
direct
0.000 0.000 0.500
0.000 0.500 0.000
0.500 0.000 0.000
0.000 0.000 0.000
0.500 0.500 0.500
```

***

## PbAuC3 (PBE-GGA)

Data for PbAuC3 after structural relaxation.

Summary:
DOS(E_F) ... 4.40 states/eV per cell
Energy relative to the lowest polymorph listed for this composition ... 0 meV per atom
Crystal system ... cubic
Energy relative to the elements ... 2851.1 meV/atom
SG ... Pm-3m
Total DFT energy (no corrections) ... -20.40 eV for the cell shown

Geometry as POSCAR:
```
PbAuC3
1.0
4.271 0.000 0.000
0.000 4.271 0.000
0.000 0.000 4.271
Au C Pb
1 3 1
direct
0.000 0.000 0.000
0.000 0.000 0.500
0.500 0.000 0.000
0.000 0.500 0.000
0.500 0.500 0.500
```

***

## Rh2PbAuC (PBE-GGA)

Data for Rh2PbAuC after structural relaxation.

Summary:
DOS(E_F) ... 5.62 states/eV per cell
Crystal system ... tetragonal
Energy relative to the elements ... 2628.1 meV/atom
SG ... P4/mmm
Total DFT energy (no corrections) ... -17.77 eV for the cell shown

Geometry as POSCAR:
```
Rh2PbAuC
1.0
5.030 0.000 0.000
0.000 5.165 0.000
0.000 0.000 5.030
Rh C Pb Au
2 1 1 1
direct
0.000 0.000 0.500
0.500 0.000 0.000
0.500 0.500 0.500
0.000 0.000 0.000
0.000 0.500 0.000
```

***

## PbAu2CS (PBE-GGA)

Data for PbAu2CS after structural relaxation.

Summary:
DOS(E_F) ... 2.75 states/eV per cell
Crystal system ... tetragonal
SG ... P4/mmm
Total DFT energy (no corrections) ... -18.19 eV for the cell shown

Geometry as POSCAR:
```
PbAu2CS
1.0
5.246 0.000 0.000
0.000 3.567 0.000
0.000 0.000 5.246
S C Au Pb
1 1 2 1
direct
0.000 0.000 0.000
0.000 0.500 0.000
0.000 0.000 0.500
0.500 0.000 0.000
0.500 0.500 0.500
```